Computed, not measured: crystalline TlHgSb2 at its relaxed geometry at the GGA-PBE level of DFT.

Lattice parameters (Å, degrees): 3.3428 3.3428 10.9464 90.00 90.00 110.78
Fractional coordinates of all 4 atoms:
Hg  0.5000  0.5000  0.7570
Sb  0.0000  0.0000  0.0065
Sb  0.5000  0.5000  0.2355
Tl  0.0000  0.0000  0.5010

Calculated values
* M_tot: 0.00 μB/f.u.
* total DFT energy (no corrections): -10.43 eV/cell
* raw formation energy: 0.120 eV per atom
* symmetry: Cmm2